Version 1
Compound: LaTmPd
Source: Alexandria
Functional: PBE-GGA
Structure: optimized geometry

## Properties
* density: 8.48 g/cm3

abc: 6.7897 6.7897 6.7897
angles: 149.36 149.36 43.88
Element x y z (fractional)
La (0.0000, 0.0000, 0.0000)
Tm (0.2739, 0.2739, 0.0000)
Pd (0.6606, 0.6606, 0.0000)

=====

Version 2
Compound: LaTmPd
Source: Alexandria
Functional: PBE-GGA
Structure: optimized geometry

## Properties
* density: 8.47 g/cm3

abc: 4.9515 7.6825 7.6825
angles: 123.50 90.00 90.00
Element x y z (fractional)
La (0.0000, 0.0000, 0.0000)
La (0.0000, 0.2025, 0.6008)
La (0.0000, 0.6008, 0.2025)
Tm (0.5000, 0.3331, 0.3331)
Tm (0.5000, 0.6225, 0.8748)
Tm (0.5000, 0.8748, 0.6225)
Pd (0.0000, 0.5821, 0.5821)
Pd (0.5000, 0.2989, 0.9476)
Pd (0.5000, 0.9476, 0.2989)

=====

Least stable of them? version 1.

=====

Version 1
Compound: LaVPd2
Source: Alexandria
Functional: PBE-GGA
Structure: optimized geometry

## Properties
* density: 6.79 g/cm3

abc: 8.9373 8.9373 8.9373
angles: 148.24 148.24 45.53
Element x y z (fractional)
La (0.0000, 0.0000, 0.0000)
La (0.7500, 0.2500, 0.5000)
V (0.2500, 0.7500, 0.5000)
V (0.5000, 0.5000, 0.0000)
Pd (0.2642, 0.6250, 0.1392)
Pd (0.3750, 0.5142, 0.6392)
Pd (0.4858, 0.1250, 0.8608)
Pd (0.8750, 0.7358, 0.3608)

=====

Version 2
Compound: LaVPd2
Source: Alexandria
Functional: PBE-GGA
Structure: optimized geometry

## Properties
* density: 8.21 g/cm3

abc: 4.8651 4.8651 4.8651
angles: 60.00 60.00 60.00
Element x y z (fractional)
La (0.0000, 0.0000, 0.0000)
V (0.5000, 0.5000, 0.5000)
Pd (0.2500, 0.2500, 0.2500)
Pd (0.7500, 0.7500, 0.7500)

=====

Least stable of them? version 1.

=====

Version 1
Compound: La2PdW2
Source: Alexandria
Functional: PBE-GGA
Structure: optimized geometry

## Properties
* density: 10.12 g/cm3

abc: 9.3970 9.3970 9.3970
angles: 157.31 157.31 32.31
Element x y z (fractional)
La (0.1015, 0.1015, 0.0000)
La (0.8985, 0.8985, 0.0000)
Pd (0.5000, 0.5000, 0.0000)
W (0.2500, 0.7500, 0.5000)
W (0.7500, 0.2500, 0.5000)

=====

Version 2
Compound: La2PdW2
Source: Alexandria
Functional: PBE-GGA
Structure: optimized geometry

## Properties
* density: 9.98 g/cm3

abc: 8.8694 8.8694 3.1816
angles: 90.00 90.00 90.00
Element x y z (fractional)
La (0.2015, 0.2985, 0.0000)
La (0.2985, 0.7985, 0.0000)
La (0.7015, 0.2015, 0.0000)
La (0.7985, 0.7015, 0.0000)
Pd (0.0000, 0.0000, 0.0000)
Pd (0.5000, 0.5000, 0.0000)
W (0.0921, 0.5921, 0.5000)
W (0.4079, 0.0921, 0.5000)
W (0.5921, 0.9079, 0.5000)
W (0.9079, 0.4079, 0.5000)

=====

Least stable of them? version 2.

=====

Version 1
Compound: LaPd3W
Source: Alexandria
Functional: PBE-GGA
Structure: optimized geometry

## Properties
* density: 9.09 g/cm3

abc: 4.8955 4.8955 4.8955
angles: 90.00 90.00 90.00
Element x y z (fractional)
La (0.0000, 0.0000, 0.0000)
Pd (0.0000, 0.5000, 0.5000)
Pd (0.5000, 0.0000, 0.5000)
Pd (0.5000, 0.5000, 0.0000)
W (0.5000, 0.5000, 0.5000)

=====

Version 2
Compound: LaPd3W
Source: Alexandria
Functional: PBE-GGA
Structure: optimized geometry

## Properties
* density: 8.62 g/cm3

abc: 4.9832 4.9832 4.9832
angles: 90.00 90.00 90.00
Element x y z (fractional)
La (0.0000, 0.0000, 0.0000)
Pd (0.0000, 0.0000, 0.5000)
Pd (0.0000, 0.5000, 0.0000)
Pd (0.5000, 0.0000, 0.0000)
W (0.5000, 0.5000, 0.5000)

=====

Least stable of them? version 2.

=====

Version 1
Compound: La2PdW
Source: Alexandria
Functional: PBE-GGA
Structure: optimized geometry

## Properties
* density: 9.49 g/cm3

abc: 6.4376 6.4376 6.4376
angles: 103.95 103.95 121.19
Element x y z (fractional)
La (0.1205, 0.6250, 0.9955)
La (0.3750, 0.3705, 0.4955)
La (0.6295, 0.1250, 0.0045)
La (0.8750, 0.8795, 0.5045)
Pd (0.0000, 0.0000, 0.0000)
Pd (0.7500, 0.2500, 0.5000)
W (0.2500, 0.7500, 0.5000)
W (0.5000, 0.5000, 0.0000)

=====

Version 2
Compound: La2PdW
Source: Alexandria
Functional: PBE-GGA
Structure: optimized geometry

## Properties
* density: 9.79 g/cm3

abc: 5.1464 5.1464 5.1464
angles: 60.00 60.00 60.00
Element x y z (fractional)
La (0.2500, 0.2500, 0.2500)
La (0.7500, 0.7500, 0.7500)
Pd (0.0000, 0.0000, 0.0000)
W (0.5000, 0.5000, 0.5000)

=====

Least stable of them? version 1.

=====

Version 1
Compound: LaPdW2
Source: Alexandria
Functional: PBE-GGA
Structure: optimized geometry

## Properties
* density: 13.96 g/cm3

abc: 4.6893 4.6893 4.6893
angles: 60.00 60.00 60.00
Element x y z (fractional)
La (0.0000, 0.0000, 0.0000)
Pd (0.5000, 0.5000, 0.5000)
W (0.2500, 0.2500, 0.2500)
W (0.7500, 0.7500, 0.7500)

=====

Version 2
Compound: LaPdW2
Source: Alexandria
Functional: PBE-GGA
Structure: optimized geometry

## Properties
* density: 9.71 g/cm3

abc: 9.8867 9.8867 9.8867
angles: 152.21 152.21 39.71
Element x y z (fractional)
La (0.0000, 0.0000, 0.0000)
La (0.7500, 0.2500, 0.5000)
Pd (0.2500, 0.7500, 0.5000)
Pd (0.5000, 0.5000, 0.0000)
W (0.3529, 0.1250, 0.7279)
W (0.3750, 0.6471, 0.7721)
W (0.3971, 0.6250, 0.2721)
W (0.8750, 0.6029, 0.2279)

=====

Least stable of them? version 2.

=====

Version 1
Compound: LaPd2W
Source: Alexandria
Functional: PBE-GGA
Structure: optimized geometry

## Properties
* density: 10.93 g/cm3

abc: 4.8634 4.8634 4.8634
angles: 60.00 60.00 60.00
Element x y z (fractional)
La (0.0000, 0.0000, 0.0000)
Pd (0.2500, 0.2500, 0.2500)
Pd (0.7500, 0.7500, 0.7500)
W (0.5000, 0.5000, 0.5000)

=====

Version 2
Compound: LaPd2W
Source: Alexandria
Functional: PBE-GGA
Structure: optimized geometry

## Properties
* density: 8.87 g/cm3

abc: 9.1448 9.1448 9.1448
angles: 149.15 149.15 44.19
Element x y z (fractional)
La (0.0000, 0.0000, 0.0000)
La (0.7500, 0.2500, 0.5000)
Pd (0.2613, 0.6250, 0.1363)
Pd (0.3750, 0.5113, 0.6363)
Pd (0.4887, 0.1250, 0.8637)
Pd (0.8750, 0.7387, 0.3637)
W (0.2500, 0.7500, 0.5000)
W (0.5000, 0.5000, 0.0000)

=====

Least stable of them? version 2.

=====

Version 1
Compound: LaPdW3
Source: Alexandria
Functional: PBE-GGA
Structure: optimized geometry

## Properties
* density: 12.24 g/cm3

abc: 4.7639 4.7639 4.7639
angles: 90.00 90.00 90.00
Element x y z (fractional)
La (0.0000, 0.0000, 0.0000)
Pd (0.5000, 0.5000, 0.5000)
W (0.0000, 0.0000, 0.5000)
W (0.0000, 0.5000, 0.0000)
W (0.5000, 0.0000, 0.0000)

=====

Version 2
Compound: LaPdW3
Source: Alexandria
Functional: PBE-GGA
Structure: optimized geometry

## Properties
* density: 11.46 g/cm3

abc: 4.8700 4.8700 4.8700
angles: 90.00 90.00 90.00
Element x y z (fractional)
La (0.0000, 0.0000, 0.0000)
Pd (0.5000, 0.5000, 0.5000)
W (0.0000, 0.5000, 0.5000)
W (0.5000, 0.0000, 0.5000)
W (0.5000, 0.5000, 0.0000)

=====

Least stable of them? version 1.

=====

Version 1
Compound: LaYPd4
Source: Alexandria
Functional: PBE-GGA
Structure: optimized geometry

## Properties
* density: 9.14 g/cm3

abc: 5.5158 5.5158 5.5158
angles: 60.00 60.00 60.00
Element x y z (fractional)
La (0.0000, 0.0000, 0.0000)
Y (0.7500, 0.7500, 0.7500)
Pd (0.3754, 0.3754, 0.3754)
Pd (0.3754, 0.3754, 0.8738)
Pd (0.3754, 0.8738, 0.3754)
Pd (0.8738, 0.3754, 0.3754)

=====

Version 2
Compound: LaYPd4
Source: Alexandria
Functional: PBE-GGA
Structure: optimized geometry

## Properties
* density: 7.92 g/cm3

abc: 3.9714 3.9714 8.6927
angles: 90.00 90.00 90.00
Element x y z (fractional)
La (0.0000, 0.0000, 0.0000)
Y (0.5000, 0.5000, 0.5000)
Pd (0.0000, 0.5000, 0.2549)
Pd (0.0000, 0.5000, 0.7451)
Pd (0.5000, 0.0000, 0.2549)
Pd (0.5000, 0.0000, 0.7451)

=====

Least stable of them? version 2.

=====

Version 1
Compound: LaY2Pd2
Source: Alexandria
Functional: PBE-GGA
Structure: optimized geometry

## Properties
* density: 6.14 g/cm3

abc: 6.4218 6.4218 6.4218
angles: 132.04 132.04 70.16
Element x y z (fractional)
La (0.0000, 0.0000, 0.0000)
Y (0.3387, 0.3387, 0.0000)
Y (0.6613, 0.6613, 0.0000)
Pd (0.2500, 0.7500, 0.5000)
Pd (0.7500, 0.2500, 0.5000)

=====

Version 2
Compound: LaY2Pd2
Source: Alexandria
Functional: PBE-GGA
Structure: optimized geometry

## Properties
* density: 6.97 g/cm3

abc: 7.9874 7.9874 3.9523
angles: 90.00 90.00 90.00
Element x y z (fractional)
La (0.0000, 0.0000, 0.0000)
La (0.5000, 0.5000, 0.0000)
Y (0.1601, 0.3399, 0.5000)
Y (0.3399, 0.8399, 0.5000)
Y (0.6601, 0.1601, 0.5000)
Y (0.8399, 0.6601, 0.5000)
Pd (0.1299, 0.6299, 0.0000)
Pd (0.3701, 0.1299, 0.0000)
Pd (0.6299, 0.8701, 0.0000)
Pd (0.8701, 0.3701, 0.0000)

=====

Version 3
Compound: LaY2Pd2
Source: Alexandria
Functional: PBE-GGA
Structure: optimized geometry

## Properties
* density: 6.56 g/cm3

abc: 6.8842 6.8842 6.8842
angles: 139.92 139.92 57.97
Element x y z (fractional)
La (0.0000, 0.0000, 0.0000)
Y (0.2500, 0.7500, 0.5000)
Y (0.7500, 0.2500, 0.5000)
Pd (0.3890, 0.3890, 0.0000)
Pd (0.6110, 0.6110, 0.0000)

=====

Version 4
Compound: LaY2Pd2
Source: Alexandria
Functional: PBE-GGA
Structure: optimized geometry

## Properties
* density: 7.26 g/cm3

abc: 8.5542 8.5542 3.3108
angles: 90.00 90.00 90.00
Element x y z (fractional)
La (0.0000, 0.0000, 0.0000)
La (0.5000, 0.5000, 0.0000)
Y (0.1379, 0.3621, 0.0000)
Y (0.3621, 0.8621, 0.0000)
Y (0.6379, 0.1379, 0.0000)
Y (0.8621, 0.6379, 0.0000)
Pd (0.1578, 0.6578, 0.5000)
Pd (0.3422, 0.1578, 0.5000)
Pd (0.6578, 0.8422, 0.5000)
Pd (0.8422, 0.3422, 0.5000)

=====

Least stable of them? version 1.

=====

Version 1
Compound: LaY3Pd
Source: Alexandria
Functional: PBE-GGA
Structure: optimized geometry

## Properties
* density: 5.14 g/cm3

abc: 5.4897 5.4897 5.4897
angles: 90.00 90.00 90.00
Element x y z (fractional)
La (0.0000, 0.0000, 0.0000)
Y (0.0000, 0.0000, 0.5000)
Y (0.0000, 0.5000, 0.0000)
Y (0.5000, 0.0000, 0.0000)
Pd (0.5000, 0.5000, 0.5000)

=====

Version 2
Compound: LaY3Pd
Source: Alexandria
Functional: PBE-GGA
Structure: optimized geometry

## Properties
* density: 5.07 g/cm3

abc: 5.5133 5.5133 5.5133
angles: 90.00 90.00 90.00
Element x y z (fractional)
La (0.0000, 0.0000, 0.0000)
Y (0.0000, 0.5000, 0.5000)
Y (0.5000, 0.0000, 0.5000)
Y (0.5000, 0.5000, 0.0000)
Pd (0.5000, 0.5000, 0.5000)

=====

Least stable of them? version 1.